# 1
Mg4Mn3O8 | GGA+U | relaxed

a b c (Å): 8.310 8.777 5.936
angles (deg): 90.00 133.58 90.00
Space group C2/m (No. 12)
One atom of each set of equivalent atoms:
Mg 0.000 0.000 0.000 [2 per cell]
Mg 0.000 0.500 0.500 [2 per cell]
Mg 0.250 0.250 0.000 [4 per cell]
Mn 0.000 0.500 0.000 [2 per cell]
Mn 0.250 0.250 0.500 [4 per cell]
O 0.000 0.236 0.000 [4 per cell]
O 0.000 0.264 0.500 [4 per cell]
O 0.227 0.500 0.977 [4 per cell]
O 0.232 0.500 0.474 [4 per cell]

## Properties
E = -6.6866 eV per atom

# 2
MgMnO2 | GGA+U | relaxed

a b c (Å): 3.114 3.114 4.399
angles (deg): 90.00 90.00 90.00
Space group P4/mmm (No. 123)
One atom of each set of equivalent atoms:
Mg 0.000 0.000 0.000 [1 per cell]
Mn 0.500 0.500 0.500 [1 per cell]
O 0.000 0.000 0.500 [1 per cell]
O 0.500 0.500 0.000 [1 per cell]

## Properties
E = -6.8720 eV per atom

# 3
MgMn4O8 | GGA+U | relaxed

a b c (Å): 6.043 6.044 10.223
angles (deg): 90.00 126.00 90.00
Space group Pc (No. 7)
One atom of each set of equivalent atoms:
Mg 0.000 0.245 0.000 [2 per cell]
Mn 0.364 0.236 0.623 [2 per cell]
Mn 0.364 0.486 0.372 [2 per cell]
Mn 0.365 0.007 0.883 [2 per cell]
Mn 0.858 0.244 0.623 [2 per cell]
O 0.126 0.027 0.640 [2 per cell]
O 0.135 0.261 0.862 [2 per cell]
O 0.147 0.208 0.394 [2 per cell]
O 0.150 0.479 0.635 [2 per cell]
O 0.566 0.005 0.609 [2 per cell]
O 0.580 0.230 0.389 [2 per cell]
O 0.588 0.231 0.863 [2 per cell]
O 0.590 0.444 0.610 [2 per cell]

## Properties
E = -7.1053 eV per atom

# 4
MgMn3O | GGA+U | relaxed

a b c (Å): 5.165 5.165 5.165
angles (deg): 90.00 90.00 90.00
Space group Pm-3m (No. 221)
One atom of each set of equivalent atoms:
Mg 0.000 0.000 0.000 [1 per cell]
Mn 0.000 0.000 0.500 [3 per cell]
O 0.500 0.500 0.500 [1 per cell]

## Properties
E = -4.3593 eV per atom